No. 1
# GGA-PBE La2PrSn, relaxed
# total magnetic moment	0.0	μB per formula unit
# formation energy from the elements	-37	kJ/mol of atoms
data_La2PrSn
_chemical_formula_sum 'La2 Pr1 Sn1'
_symmetry_space_group_name_H-M 'P 4/m m m'
_symmetry_Int_Tables_number 123
_symmetry_space_group_name_Hall '-P 4 2'
_cell_length_a 4.326
_cell_length_b 4.326
_cell_length_c 7.115
_cell_angle_alpha 90.00
_cell_angle_beta 90.00
_cell_angle_gamma 90.00
loop_
_atom_site_label
_atom_site_type_symbol
_atom_site_fract_x
_atom_site_fract_y
_atom_site_fract_z
La1 La 0.000 0.000 0.220
Pr1 Pr 0.500 0.500 0.500
Sn1 Sn 0.500 0.500 0.000

No. 2
# GGA-PBE Na2MgTe, relaxed
# uncorrected formation energy	-0.356	eV/atom
# total magnetic moment	0.0	μB per formula unit
data_Na2MgTe
_chemical_formula_sum 'Na8 Mg4 Te4'
_symmetry_space_group_name_H-M 'F m -3 m'
_symmetry_Int_Tables_number 225
_symmetry_space_group_name_Hall '-F 4 2 3'
_cell_length_a 7.747
_cell_length_b 7.747
_cell_length_c 7.747
_cell_angle_alpha 90.00
_cell_angle_beta 90.00
_cell_angle_gamma 90.00
loop_
_atom_site_label
_atom_site_type_symbol
_atom_site_fract_x
_atom_site_fract_y
_atom_site_fract_z
Na1 Na 0.250 0.250 0.250
Mg1 Mg 0.000 0.000 0.000
Te1 Te 0.000 0.000 0.500

No. 3
# GGA-PBE BaNaSeCl, relaxed
# uncorrected formation energy	-1.757	eV/atom
# total magnetic moment	0.0	μB per formula unit
data_BaNaSeCl
_chemical_formula_sum 'Ba4 Na4 Se4 Cl4'
_symmetry_space_group_name_H-M 'F -4 3 m'
_symmetry_Int_Tables_number 216
_symmetry_space_group_name_Hall 'F -4 2 3'
_cell_length_a 7.648
_cell_length_b 7.648
_cell_length_c 7.648
_cell_angle_alpha 90.00
_cell_angle_beta 90.00
_cell_angle_gamma 90.00
loop_
_atom_site_label
_atom_site_type_symbol
_atom_site_fract_x
_atom_site_fract_y
_atom_site_fract_z
Ba1 Ba 0.000 0.000 0.000
Na1 Na 0.000 0.000 0.500
Se1 Se 0.250 0.250 0.250
Cl1 Cl 0.250 0.250 0.750

No. 4
# GGA-PBE Pm2Sm4C, relaxed
# total magnetic moment	0.0	μB per formula unit
# formation energy from the elements	15	kJ/mol of atoms
data_Pm2Sm4C
_chemical_formula_sum 'Pm4 Sm8 C2'
_symmetry_space_group_name_H-M 'I 4/m m m'
_symmetry_Int_Tables_number 139
_symmetry_space_group_name_Hall '-I 4 2'
_cell_length_a 4.995
_cell_length_b 4.995
_cell_length_c 17.842
_cell_angle_alpha 90.00
_cell_angle_beta 90.00
_cell_angle_gamma 90.00
loop_
_atom_site_label
_atom_site_type_symbol
_atom_site_fract_x
_atom_site_fract_y
_atom_site_fract_z
Pm1 Pm 0.000 0.000 0.174
Sm1 Sm 0.000 0.000 0.364
Sm2 Sm 0.000 0.500 0.000
C1 C 0.000 0.000 0.500

No. 5
# GGA-PBE AcPrTmAl, relaxed
# total magnetic moment	0.0	μB per formula unit
# formation energy from the elements	7	kJ/mol of atoms
data_AcPrTmAl
_chemical_formula_sum 'Ac4 Pr4 Tm4 Al4'
_symmetry_space_group_name_H-M 'F -4 3 m'
_symmetry_Int_Tables_number 216
_symmetry_space_group_name_Hall 'F -4 2 3'
_cell_length_a 7.868
_cell_length_b 7.868
_cell_length_c 7.868
_cell_angle_alpha 90.00
_cell_angle_beta 90.00
_cell_angle_gamma 90.00
loop_
_atom_site_label
_atom_site_type_symbol
_atom_site_fract_x
_atom_site_fract_y
_atom_site_fract_z
Ac1 Ac 0.000 0.000 0.000
Pr1 Pr 0.250 0.250 0.750
Tm1 Tm 0.250 0.250 0.250
Al1 Al 0.000 0.000 0.500

No. 6
# GGA-PBE TlSb2Ir, relaxed
# uncorrected formation energy	0.508	eV/atom
# total magnetic moment	0.0	μB per formula unit
data_TlSb2Ir
_chemical_formula_sum 'Tl2 Sb4 Ir2'
_symmetry_space_group_name_H-M 'C m m m'
_symmetry_Int_Tables_number 65
_symmetry_space_group_name_Hall '-C 2 2'
_cell_length_a 6.338
_cell_length_b 8.202
_cell_length_c 3.515
_cell_angle_alpha 90.00
_cell_angle_beta 90.00
_cell_angle_gamma 90.00
loop_
_atom_site_label
_atom_site_type_symbol
_atom_site_fract_x
_atom_site_fract_y
_atom_site_fract_z
Tl1 Tl 0.000 0.000 0.000
Sb1 Sb 0.250 0.250 0.500
Ir1 Ir 0.000 0.500 0.000

No. 7
# GGA-PBE BiPb4, relaxed
# total magnetic moment	0.0	μB per formula unit
# formation energy from the elements	1	kJ/mol of atoms
data_BiPb4
_chemical_formula_sum 'Bi2 Pb8'
_symmetry_space_group_name_H-M 'C 1 2/m 1'
_symmetry_Int_Tables_number 12
_cell_length_a 11.093
_cell_length_b 5.147
_cell_length_c 7.841
_cell_angle_alpha 90.00
_cell_angle_beta 134.95
_cell_angle_gamma 90.00
loop_
_symmetry_equiv_pos_as_xyz
'x,y,z'
'-x,-y,-z'
'-x,y,-z'
'x,-y,z'
'x+1/2,y+1/2,z'
'-x+1/2,-y+1/2,-z'
'-x+1/2,y+1/2,-z'
'x+1/2,-y+1/2,z'
loop_
_atom_site_label
_atom_site_type_symbol
_atom_site_fract_x
_atom_site_fract_y
_atom_site_fract_z
Bi1 Bi 0.000 0.000 0.000
Pb1 Pb 0.100 0.500 0.799
Pb2 Pb 0.200 0.000 0.600

No. 8
# GGA-PBE Pa2Ge3, relaxed
# total magnetic moment	0.6	μB per formula unit
# formation energy from the elements	-30	kJ/mol of atoms
data_Pa2Ge3
_chemical_formula_sum 'Pa4 Ge6'
_symmetry_space_group_name_H-M 'I m m 2'
_symmetry_Int_Tables_number 44
_cell_length_a 3.989
_cell_length_b 4.055
_cell_length_c 13.980
_cell_angle_alpha 90.00
_cell_angle_beta 90.00
_cell_angle_gamma 90.00
loop_
_symmetry_equiv_pos_as_xyz
'x,y,z'
'-x,-y,z'
'-x,y,z'
'x,-y,z'
'x+1/2,y+1/2,z+1/2'
'-x+1/2,-y+1/2,z+1/2'
'-x+1/2,y+1/2,z+1/2'
'x+1/2,-y+1/2,z+1/2'
loop_
_atom_site_label
_atom_site_type_symbol
_atom_site_fract_x
_atom_site_fract_y
_atom_site_fract_z
Pa1 Pa 0.000 0.000 0.000
Pa2 Pa 0.000 0.500 0.253
Ge1 Ge 0.000 0.000 0.421
Ge2 Ge 0.000 0.000 0.600
Ge3 Ge 0.000 0.500 0.798

No. 9
# GGA-PBE LiInCo2, relaxed
# total magnetic moment	3.2	μB per formula unit
# formation energy from the elements	9	kJ/mol of atoms
data_LiInCo2
_chemical_formula_sum 'Li1 In1 Co2'
_symmetry_space_group_name_H-M 'P m m 2'
_symmetry_Int_Tables_number 25
_cell_length_a 2.982
_cell_length_b 3.036
_cell_length_c 6.232
_cell_angle_alpha 90.00
_cell_angle_beta 90.00
_cell_angle_gamma 90.00
loop_
_symmetry_equiv_pos_as_xyz
'x,y,z'
'-x,-y,z'
'-x,y,z'
'x,-y,z'
loop_
_atom_site_label
_atom_site_type_symbol
_atom_site_fract_x
_atom_site_fract_y
_atom_site_fract_z
Li1 Li 0.000 0.000 0.000
In1 In 0.500 0.500 0.706
Co1 Co 0.000 0.000 0.418
Co2 Co 0.500 0.500 0.236

No. 10
# GGA-PBE PmPr2Sc2, relaxed
# total magnetic moment	0.0	μB per formula unit
# formation energy from the elements	11	kJ/mol of atoms
data_PmPr2Sc2
_chemical_formula_sum 'Pm4 Pr8 Sc8'
_symmetry_space_group_name_H-M 'C 1 2/c 1'
_symmetry_Int_Tables_number 15
_cell_length_a 6.605
_cell_length_b 15.775
_cell_length_c 6.624
_cell_angle_alpha 90.00
_cell_angle_beta 117.40
_cell_angle_gamma 90.00
loop_
_symmetry_equiv_pos_as_xyz
'x,y,z'
'-x,-y,-z'
'-x,y,-z+1/2'
'x,-y,z+1/2'
'x+1/2,y+1/2,z'
'-x+1/2,-y+1/2,-z'
'-x+1/2,y+1/2,-z+1/2'
'x+1/2,-y+1/2,z+1/2'
loop_
_atom_site_label
_atom_site_type_symbol
_atom_site_fract_x
_atom_site_fract_y
_atom_site_fract_z
Pm1 Pm 0.000 0.160 0.250
Pr1 Pr 0.247 0.453 0.002
Sc1 Sc 0.000 0.249 0.750
Sc2 Sc 0.000 0.351 0.250

No. 11
# GGA-PBE SrLi, relaxed
# total magnetic moment	0.0	μB per formula unit
# formation energy from the elements	3	kJ/mol of atoms
data_SrLi
_chemical_formula_sum 'Sr1 Li1'
_symmetry_space_group_name_H-M 'P m -3 m'
_symmetry_Int_Tables_number 221
_symmetry_space_group_name_Hall '-P 4 2 3'
_cell_length_a 4.241
_cell_length_b 4.241
_cell_length_c 4.241
_cell_angle_alpha 90.00
_cell_angle_beta 90.00
_cell_angle_gamma 90.00
loop_
_atom_site_label
_atom_site_type_symbol
_atom_site_fract_x
_atom_site_fract_y
_atom_site_fract_z
Sr1 Sr 0.000 0.000 0.000
Li1 Li 0.500 0.500 0.500

No. 12
# GGA-PBE NiAgSe2, relaxed
# uncorrected formation energy	-0.014	eV/atom
# total magnetic moment	0.0	μB per formula unit
data_NiAgSe2
_chemical_formula_sum 'Ni4 Ag4 Se8'
_symmetry_space_group_name_H-M 'P 1 21/c 1'
_symmetry_Int_Tables_number 14
_cell_length_a 7.822
_cell_length_b 5.073
_cell_length_c 10.406
_cell_angle_alpha 90.00
_cell_angle_beta 124.71
_cell_angle_gamma 90.00
loop_
_symmetry_equiv_pos_as_xyz
'x,y,z'
'-x,-y,-z'
'-x,y+1/2,-z+1/2'
'x,-y+1/2,z+1/2'
loop_
_atom_site_label
_atom_site_type_symbol
_atom_site_fract_x
_atom_site_fract_y
_atom_site_fract_z
Ni1 Ni 0.138 0.163 0.009
Ag1 Ag 0.134 0.071 0.269
Se1 Se 0.164 0.693 0.026
Se2 Se 0.448 0.200 0.033

No. 13
# GGA-PBE TmSc7Cd4, relaxed
# total magnetic moment	0.0	μB per formula unit
# formation energy from the elements	4	kJ/mol of atoms
data_TmSc7Cd4
_chemical_formula_sum 'Tm2 Sc14 Cd8'
_symmetry_space_group_name_H-M 'C 1 2/m 1'
_symmetry_Int_Tables_number 12
_cell_length_a 13.967
_cell_length_b 5.332
_cell_length_c 9.151
_cell_angle_alpha 90.00
_cell_angle_beta 121.77
_cell_angle_gamma 90.00
loop_
_symmetry_equiv_pos_as_xyz
'x,y,z'
'-x,-y,-z'
'-x,y,-z'
'x,-y,z'
'x+1/2,y+1/2,z'
'-x+1/2,-y+1/2,-z'
'-x+1/2,y+1/2,-z'
'x+1/2,-y+1/2,z'
loop_
_atom_site_label
_atom_site_type_symbol
_atom_site_fract_x
_atom_site_fract_y
_atom_site_fract_z
Tm1 Tm 0.000 0.000 0.000
Sc1 Sc 0.000 0.500 0.000
Sc2 Sc 0.073 0.000 0.422
Sc3 Sc 0.211 0.000 0.883
Sc4 Sc 0.243 0.500 0.699
Cd1 Cd 0.047 0.500 0.712
Cd2 Cd 0.181 0.500 0.341

No. 14
# GGA-PBE PrNd5Pt4, relaxed
# total magnetic moment	0.0	μB per formula unit
# formation energy from the elements	-84	kJ/mol of atoms
data_PrNd5Pt4
_chemical_formula_sum 'Pr2 Nd10 Pt8'
_symmetry_space_group_name_H-M 'I m m m'
_symmetry_Int_Tables_number 71
_symmetry_space_group_name_Hall '-I 2 2'
_cell_length_a 4.292
_cell_length_b 7.930
_cell_length_c 17.579
_cell_angle_alpha 90.00
_cell_angle_beta 90.00
_cell_angle_gamma 90.00
loop_
_atom_site_label
_atom_site_type_symbol
_atom_site_fract_x
_atom_site_fract_y
_atom_site_fract_z
Pr1 Pr 0.000 0.000 0.000
Nd1 Nd 0.000 0.256 0.335
Nd2 Nd 0.000 0.500 0.000
Pt1 Pt 0.000 0.000 0.205
Pt2 Pt 0.000 0.245 0.500

No. 15
# GGA-PBE Sc2TcAsPd, relaxed
# total magnetic moment	0.0	μB per formula unit
# formation energy from the elements	35	kJ/mol of atoms
data_Sc2TcAsPd
_chemical_formula_sum 'Sc2 Tc1 As1 Pd1'
_symmetry_space_group_name_H-M 'P 4/m m m'
_symmetry_Int_Tables_number 123
_symmetry_space_group_name_Hall '-P 4 2'
_cell_length_a 4.971
_cell_length_b 4.971
_cell_length_c 4.699
_cell_angle_alpha 90.00
_cell_angle_beta 90.00
_cell_angle_gamma 90.00
loop_
_atom_site_label
_atom_site_type_symbol
_atom_site_fract_x
_atom_site_fract_y
_atom_site_fract_z
Sc1 Sc 0.000 0.500 0.000
Tc1 Tc 0.000 0.000 0.000
As1 As 0.500 0.500 0.500
Pd1 Pd 0.000 0.000 0.500

No. 16
# GGA-PBE Ac3Nd2Tl2, relaxed
# total magnetic moment	0.0	μB per formula unit
# formation energy from the elements	-8	kJ/mol of atoms
data_Ac3Nd2Tl2
_chemical_formula_sum 'Ac6 Nd4 Tl4'
_symmetry_space_group_name_H-M 'C m m m'
_symmetry_Int_Tables_number 65
_symmetry_space_group_name_Hall '-C 2 2'
_cell_length_a 5.092
_cell_length_b 26.133
_cell_length_c 3.802
_cell_angle_alpha 90.00
_cell_angle_beta 90.00
_cell_angle_gamma 90.00
loop_
_atom_site_label
_atom_site_type_symbol
_atom_site_fract_x
_atom_site_fract_y
_atom_site_fract_z
Ac1 Ac 0.000 0.000 0.000
Ac2 Ac 0.000 0.144 0.000
Nd1 Nd 0.000 0.286 0.500
Tl1 Tl 0.000 0.425 0.500

No. 17
# GGA-PBE Ti2ZnRh, relaxed
# total magnetic moment	0.0	μB per formula unit
# formation energy from the elements	-43	kJ/mol of atoms
data_Ti2ZnRh
_chemical_formula_sum 'Ti2 Zn1 Rh1'
_symmetry_space_group_name_H-M 'P 4/m m m'
_symmetry_Int_Tables_number 123
_symmetry_space_group_name_Hall '-P 4 2'
_cell_length_a 4.236
_cell_length_b 4.236
_cell_length_c 3.396
_cell_angle_alpha 90.00
_cell_angle_beta 90.00
_cell_angle_gamma 90.00
loop_
_atom_site_label
_atom_site_type_symbol
_atom_site_fract_x
_atom_site_fract_y
_atom_site_fract_z
Ti1 Ti 0.000 0.500 0.000
Zn1 Zn 0.000 0.000 0.500
Rh1 Rh 0.500 0.500 0.500

No. 18
# GGA-PBE CdBiSb2, relaxed
# uncorrected formation energy	0.179	eV/atom
# total magnetic moment	0.0	μB per formula unit
data_CdBiSb2
_chemical_formula_sum 'Cd4 Bi4 Sb8'
_symmetry_space_group_name_H-M 'F m -3 m'
_symmetry_Int_Tables_number 225
_symmetry_space_group_name_Hall '-F 4 2 3'
_cell_length_a 7.655
_cell_length_b 7.655
_cell_length_c 7.655
_cell_angle_alpha 90.00
_cell_angle_beta 90.00
_cell_angle_gamma 90.00
loop_
_atom_site_label
_atom_site_type_symbol
_atom_site_fract_x
_atom_site_fract_y
_atom_site_fract_z
Cd1 Cd 0.000 0.000 0.000
Bi1 Bi 0.000 0.000 0.500
Sb1 Sb 0.250 0.250 0.250

No. 19
# GGA-PBE LaFePb, relaxed
# total magnetic moment	1.8	μB per formula unit
# formation energy from the elements	11	kJ/mol of atoms
data_LaFePb
_chemical_formula_sum 'La2 Fe2 Pb2'
_symmetry_space_group_name_H-M 'I 4 m m'
_symmetry_Int_Tables_number 107
_symmetry_space_group_name_Hall 'I 4 -2'
_cell_length_a 3.501
_cell_length_b 3.501
_cell_length_c 11.952
_cell_angle_alpha 90.00
_cell_angle_beta 90.00
_cell_angle_gamma 90.00
loop_
_atom_site_label
_atom_site_type_symbol
_atom_site_fract_x
_atom_site_fract_y
_atom_site_fract_z
La1 La 0.000 0.000 0.000
Fe1 Fe 0.000 0.000 0.662
Pb1 Pb 0.000 0.000 0.281

No. 20
# GGA-PBE AlNiGePd, relaxed
# total magnetic moment	0.0	μB per formula unit
# formation energy from the elements	-39	kJ/mol of atoms
data_AlNiGePd
_chemical_formula_sum 'Al4 Ni4 Ge4 Pd4'
_symmetry_space_group_name_H-M 'F -4 3 m'
_symmetry_Int_Tables_number 216
_symmetry_space_group_name_Hall 'F -4 2 3'
_cell_length_a 6.068
_cell_length_b 6.068
_cell_length_c 6.068
_cell_angle_alpha 90.00
_cell_angle_beta 90.00
_cell_angle_gamma 90.00
loop_
_atom_site_label
_atom_site_type_symbol
_atom_site_fract_x
_atom_site_fract_y
_atom_site_fract_z
Al1 Al 0.000 0.000 0.000
Ni1 Ni 0.250 0.250 0.750
Ge1 Ge 0.000 0.000 0.500
Pd1 Pd 0.250 0.250 0.250